w.
# GGA-PBE ScTeWN2, relaxed
# Density of states at the Fermi level in states/eV per cell: 3.59
# ρ in Mg/m³: 7.16
data_ScTeWN2
_space_group_name_H-M_alt 'P 4/m m m'
_space_group_IT_number 123
_space_group_name_Hall '-P 4 2'
_cell_length_a 3.994
_cell_length_b 3.994
_cell_length_c 5.588
_cell_angle_alpha 90.00
_cell_angle_beta 90.00
_cell_angle_gamma 90.00
loop_
_atom_site_label
_atom_site_fract_x
_atom_site_fract_y
_atom_site_fract_z
Sc1 0.000 0.000 0.000
Te1 0.500 0.500 0.000
W1 0.500 0.500 0.500
N1 0.000 0.500 0.500

x.
# GGA-PBE ScTeWN2, relaxed
# Density of states at the Fermi level in states/eV per cell: 3.67
# ρ in Mg/m³: 6.53
data_ScTeWN2
_space_group_name_H-M_alt 'P 4/m m m'
_space_group_IT_number 123
_space_group_name_Hall '-P 4 2'
_cell_length_a 4.155
_cell_length_b 4.155
_cell_length_c 5.664
_cell_angle_alpha 90.00
_cell_angle_beta 90.00
_cell_angle_gamma 90.00
loop_
_atom_site_label
_atom_site_fract_x
_atom_site_fract_y
_atom_site_fract_z
Sc1 0.000 0.000 0.000
Te1 0.000 0.000 0.500
W1 0.500 0.500 0.500
N1 0.000 0.500 0.000

If we sort the structures by their calculated energies, the order from most to least stable is w, x.

w.
# GGA-PBE YScTeN2, relaxed
# Density of states at the Fermi level in states/eV per cell: 2.72
# ρ in Mg/m³: 4.25
data_YScTeN2
_space_group_name_H-M_alt 'P 4/m m m'
_space_group_IT_number 123
_space_group_name_Hall '-P 4 2'
_cell_length_a 4.339
_cell_length_b 4.339
_cell_length_c 6.005
_cell_angle_alpha 90.00
_cell_angle_beta 90.00
_cell_angle_gamma 90.00
loop_
_atom_site_label
_atom_site_fract_x
_atom_site_fract_y
_atom_site_fract_z
Y1 0.000 0.000 0.000
Sc1 0.500 0.500 0.500
Te1 0.000 0.000 0.500
N1 0.000 0.500 0.000

x.
# GGA-PBE YScTeN2, relaxed
# Density of states at the Fermi level in states/eV per cell: 3.34
# ρ in Mg/m³: 4.75
data_YScTeN2
_space_group_name_H-M_alt 'P 4/m m m'
_space_group_IT_number 123
_space_group_name_Hall '-P 4 2'
_cell_length_a 4.231
_cell_length_b 4.231
_cell_length_c 5.657
_cell_angle_alpha 90.00
_cell_angle_beta 90.00
_cell_angle_gamma 90.00
loop_
_atom_site_label
_atom_site_fract_x
_atom_site_fract_y
_atom_site_fract_z
Y1 0.000 0.000 0.000
Sc1 0.500 0.500 0.500
Te1 0.500 0.500 0.000
N1 0.000 0.500 0.500

If we sort the structures by their calculated energies, the order from most to least stable is x, w.

w.
# GGA-PBE ThSc2N, relaxed
# Density of states at the Fermi level in states/eV per cell: 14.32
# ρ in Mg/m³: 6.87
data_ThSc2N
_space_group_name_H-M_alt 'R -3 m'
_space_group_IT_number 166
_space_group_name_Hall '-R 3 2"'
_cell_length_a 3.2989
_cell_length_b 3.2989
_cell_length_c 25.8636
_cell_angle_alpha 90.00
_cell_angle_beta 90.00
_cell_angle_gamma 120.00
loop_
_atom_site_label
_atom_site_fract_x
_atom_site_fract_y
_atom_site_fract_z
Th1 0.0000 0.0000 0.0000
Sc1 0.0000 0.0000 0.2136
N1 0.0000 0.0000 0.5000

x.
# GGA-PBE ThSc2N, relaxed
# Density of states at the Fermi level in states/eV per cell: 3.98
# ρ in Mg/m³: 7.52
data_ThSc2N
_space_group_name_H-M_alt 'P 4/m m m'
_space_group_IT_number 123
_space_group_name_Hall '-P 4 2'
_cell_length_a 3.054
_cell_length_b 3.054
_cell_length_c 7.957
_cell_angle_alpha 90.00
_cell_angle_beta 90.00
_cell_angle_gamma 90.00
loop_
_atom_site_label
_atom_site_fract_x
_atom_site_fract_y
_atom_site_fract_z
Th1 0.000 0.000 0.000
Sc1 0.500 0.500 0.339
N1 0.000 0.000 0.500

If we sort the structures by their calculated energies, the order from most to least stable is w, x.

w.
# GGA-PBE Zr2ScTiN, relaxed
# Density of states at the Fermi level in states/eV per cell: 4.80
# ρ in Mg/m³: 5.39
data_Zr2ScTiN
_space_group_name_H-M_alt 'P 4/m m m'
_space_group_IT_number 123
_space_group_name_Hall '-P 4 2'
_cell_length_a 4.643
_cell_length_b 4.643
_cell_length_c 4.135
_cell_angle_alpha 90.00
_cell_angle_beta 90.00
_cell_angle_gamma 90.00
loop_
_atom_site_label
_atom_site_fract_x
_atom_site_fract_y
_atom_site_fract_z
Zr1 0.000 0.500 0.000
Sc1 0.000 0.000 0.500
Ti1 0.500 0.500 0.500
N1 0.500 0.500 0.000

x.
# GGA-PBE Zr2ScTiN, relaxed
# Density of states at the Fermi level in states/eV per cell: 5.58
# ρ in Mg/m³: 5.31
data_Zr2ScTiN
_space_group_name_H-M_alt 'P 4/m m m'
_space_group_IT_number 123
_space_group_name_Hall '-P 4 2'
_cell_length_a 4.557
_cell_length_b 4.557
_cell_length_c 4.353
_cell_angle_alpha 90.00
_cell_angle_beta 90.00
_cell_angle_gamma 90.00
loop_
_atom_site_label
_atom_site_fract_x
_atom_site_fract_y
_atom_site_fract_z
Zr1 0.000 0.500 0.000
Sc1 0.000 0.000 0.500
Ti1 0.500 0.500 0.500
N1 0.000 0.000 0.000

If we sort the structures by their calculated energies, the order from most to least stable is w, x.

w.
# GGA-PBE ScTl2N2, relaxed
# Density of states at the Fermi level in states/eV per cell: 9.38
# ρ in Mg/m³: 8.87
data_ScTl2N2
_space_group_name_H-M_alt 'P 4/m b m'
_space_group_IT_number 127
_space_group_name_Hall '-P 4 2ab'
_cell_length_a 6.330
_cell_length_b 6.330
_cell_length_c 4.501
_cell_angle_alpha 90.00
_cell_angle_beta 90.00
_cell_angle_gamma 90.00
loop_
_atom_site_label
_atom_site_fract_x
_atom_site_fract_y
_atom_site_fract_z
Sc1 0.000 0.000 0.000
Tl1 0.164 0.336 0.500
N1 0.247 0.747 0.000

x.
# GGA-PBE ScTl2N2, relaxed
# Density of states at the Fermi level in states/eV per cell: 7.79
# ρ in Mg/m³: 7.59
data_ScTl2N2
_space_group_name_H-M_alt 'I 4/m m m'
_space_group_IT_number 139
_space_group_name_Hall '-I 4 2'
_cell_length_a 4.499
_cell_length_b 4.499
_cell_length_c 10.415
_cell_angle_alpha 90.00
_cell_angle_beta 90.00
_cell_angle_gamma 90.00
loop_
_atom_site_label
_atom_site_fract_x
_atom_site_fract_y
_atom_site_fract_z
Sc1 0.000 0.000 0.000
Tl1 0.000 0.500 0.250
N1 0.000 0.000 0.444

If we sort the structures by their calculated energies, the order from most to least stable is w, x.

w.
# GGA-PBE ScTl3N, relaxed
# Density of states at the Fermi level in states/eV per cell: 6.03
# ρ in Mg/m³: 6.26
data_ScTl3N
_space_group_name_H-M_alt 'P m -3 m'
_space_group_IT_number 221
_space_group_name_Hall '-P 4 2 3'
_cell_length_a 5.627
_cell_length_b 5.627
_cell_length_c 5.627
_cell_angle_alpha 90.00
_cell_angle_beta 90.00
_cell_angle_gamma 90.00
loop_
_atom_site_label
_atom_site_fract_x
_atom_site_fract_y
_atom_site_fract_z
Sc1 0.000 0.000 0.000
Tl1 0.000 0.000 0.500
N1 0.500 0.500 0.500

x.
# GGA-PBE ScTl3N, relaxed
# Density of states at the Fermi level in states/eV per cell: 5.59
# ρ in Mg/m³: 9.31
data_ScTl3N
_space_group_name_H-M_alt 'P m -3 m'
_space_group_IT_number 221
_space_group_name_Hall '-P 4 2 3'
_cell_length_a 4.932
_cell_length_b 4.932
_cell_length_c 4.932
_cell_angle_alpha 90.00
_cell_angle_beta 90.00
_cell_angle_gamma 90.00
loop_
_atom_site_label
_atom_site_fract_x
_atom_site_fract_y
_atom_site_fract_z
Sc1 0.000 0.000 0.000
Tl1 0.000 0.500 0.500
N1 0.500 0.500 0.500

If we sort the structures by their calculated energies, the order from most to least stable is x, w.

w.
# GGA-PBE Zr2ScTlN, relaxed
# Density of states at the Fermi level in states/eV per cell: 3.97
# ρ in Mg/m³: 7.15
data_Zr2ScTlN
_space_group_name_H-M_alt 'P 4/m m m'
_space_group_IT_number 123
_space_group_name_Hall '-P 4 2'
_cell_length_a 4.387
_cell_length_b 4.387
_cell_length_c 5.380
_cell_angle_alpha 90.00
_cell_angle_beta 90.00
_cell_angle_gamma 90.00
loop_
_atom_site_label
_atom_site_fract_x
_atom_site_fract_y
_atom_site_fract_z
Zr1 0.000 0.500 0.000
Sc1 0.000 0.000 0.500
Tl1 0.500 0.500 0.500
N1 0.500 0.500 0.000

x.
# GGA-PBE Zr2ScTlN, relaxed
# Density of states at the Fermi level in states/eV per cell: 2.74
# ρ in Mg/m³: 8.03
data_Zr2ScTlN
_space_group_name_H-M_alt 'P 4/m m m'
_space_group_IT_number 123
_space_group_name_Hall '-P 4 2'
_cell_length_a 4.532
_cell_length_b 4.532
_cell_length_c 4.491
_cell_angle_alpha 90.00
_cell_angle_beta 90.00
_cell_angle_gamma 90.00
loop_
_atom_site_label
_atom_site_fract_x
_atom_site_fract_y
_atom_site_fract_z
Zr1 0.000 0.500 0.000
Sc1 0.000 0.000 0.500
Tl1 0.500 0.500 0.500
N1 0.000 0.000 0.000

If we sort the structures by their calculated energies, the order from most to least stable is x, w.

w.
# GGA-PBE Tm3ScN4, relaxed
# Density of states at the Fermi level in states/eV per cell: 0.70
# ρ in Mg/m³: 9.46
data_Tm3ScN4
_space_group_name_H-M_alt 'P 1 2/c 1'
_space_group_IT_number 13
_cell_length_a 5.807
_cell_length_b 6.712
_cell_length_c 5.809
_cell_angle_alpha 90.00
_cell_angle_beta 109.46
_cell_angle_gamma 90.00
loop_
_space_group_symop_operation_xyz
'x,y,z'
'-x,-y,-z'
'-x,y,-z+1/2'
'x,-y,z+1/2'
loop_
_atom_site_label
_atom_site_fract_x
_atom_site_fract_y
_atom_site_fract_z
Tm1 0.000 0.123 0.250
Tm2 0.000 0.373 0.750
Tm3 0.500 0.373 0.250
Sc1 0.500 0.122 0.750
N1 0.252 0.371 0.504
N2 0.258 0.121 0.999

x.
# GGA-PBE Tm3ScN4, relaxed
# Density of states at the Fermi level in states/eV per cell: 0.37
# ρ in Mg/m³: 9.43
data_Tm3ScN4
_space_group_name_H-M_alt 'P m -3 m'
_space_group_IT_number 221
_space_group_name_Hall '-P 4 2 3'
_cell_length_a 4.748
_cell_length_b 4.748
_cell_length_c 4.748
_cell_angle_alpha 90.00
_cell_angle_beta 90.00
_cell_angle_gamma 90.00
loop_
_atom_site_label
_atom_site_fract_x
_atom_site_fract_y
_atom_site_fract_z
Tm1 0.000 0.000 0.500
Sc1 0.500 0.500 0.500
N1 0.000 0.000 0.000
N2 0.000 0.500 0.500

If we sort the structures by their calculated energies, the order from most to least stable is w, x.